Computed, not measured: crystalline Mo2PtPb2 at its relaxed geometry at the PBE level of DFT.

Output
Its volume is 209 Å³/cell. The total energy comes out at -6.540 eV per atom. The calculation puts the formation energy at 0.484 eV per atom. As for the space group: P4/mbm.

Cell and atoms, written as POSCAR:
```
Mo2PtPb2
1.0
6.844 0.000 0.000
0.000 6.844 0.000
0.000 0.000 4.460
Mo Pt Pb
4 2 4
direct
0.122 0.378 0.000
0.378 0.878 0.000
0.622 0.122 0.000
0.878 0.622 0.000
0.000 0.000 0.000
0.500 0.500 0.000
0.180 0.680 0.500
0.320 0.180 0.500
0.680 0.820 0.500
0.820 0.320 0.500
```